1.
! HoTmZnCo, optimized geometry, DFT PBE-GGA; values from VASP
! **Size of the total moment**: 0.436 μB/f.u.
! **Polymorph energy (0 for the lowest one)**: 0 meV/atom
! **D(E_F)**: 0.483 states/eV per atom
&SYSTEM
  ibrav = 0, nat = 4, ntyp = 4
/
ATOMIC_SPECIES
Co 58.93 Co.upf
Zn 65.41 Zn.upf
Tm 168.93 Tm.upf
Ho 164.93 Ho.upf
CELL_PARAMETERS angstrom
-0.608 3.294 -0.325
-0.993 0.134 3.213
6.695 1.434 2.010
ATOMIC_POSITIONS angstrom
Co 3.239 2.579 2.657
Zn -0.059 1.873 1.666
Tm 2.546 0.545 0.764
Ho 5.580 1.195 1.676


2.
! Mg2GaCuAu, optimized geometry, DFT PBE-GGA; values from VASP
! **Size of the total moment**: 0.000 μB/f.u.
! **D(E_F)**: 0.314 states/eV per atom
&SYSTEM
  ibrav = 0, nat = 5, ntyp = 4
/
ATOMIC_SPECIES
Au 196.97 Au.upf
Mg 24.30 Mg.upf
Ga 69.72 Ga.upf
Cu 63.55 Cu.upf
CELL_PARAMETERS angstrom
-0.379 -0.621 4.788
3.471 -2.829 -0.092
3.037 3.703 0.721
ATOMIC_POSITIONS angstrom
Au 3.064 0.126 2.708
Mg 1.518 1.851 0.360
Mg -0.190 -0.310 2.394
Ga 1.736 -1.415 -0.046
Cu 0.000 0.000 0.000


3.
! Cs2BeSCl6, optimized geometry, DFT PBE-GGA; values from VASP
! **Size of the total moment**: 2.000 μB/f.u.
! **Raw formation energy**: -10.46 eV per formula unit
! **D(E_F)**: 0.000 states/eV per atom
&SYSTEM
  ibrav = 0, nat = 10, ntyp = 4
/
ATOMIC_SPECIES
Cl 35.45 Cl.upf
Cs 132.91 Cs.upf
Be 9.01 Be.upf
S 32.06 S.upf
CELL_PARAMETERS angstrom
-0.846 2.317 7.108
5.307 -4.852 2.213
5.902 2.401 3.902
ATOMIC_POSITIONS angstrom
Cl 3.136 -1.783 6.553
Cl 0.981 0.188 5.654
Cl 1.324 -0.753 2.767
Cl 4.345 0.845 4.223
Cl 6.017 -0.979 8.999
Cl 3.480 -2.724 3.666
Cs 6.719 -1.859 5.388
Cs 3.643 1.725 7.835
Be 2.230 -1.268 4.660
S 0.000 0.000 0.000


| no. | DFT total energy (eV/f.u.) |
| --- | --- |
| 1 | -18.6 |
| 2 | -13.4 |
| 3 | -31.1 |